[1]
Material: ZrBe2Ir
Method: DFT, PBE
State: relaxed

Structure (extended XYZ):
```
4
Lattice="6.238 0.008 0.019 -2.379 3.463 -0.009 1.481 1.035 2.472" Properties=species:S:1:pos:R:3 pbc="T T T"
Ir -0.449 2.249 1.232
Be 3.859 0.522 1.245
Be 0.000 0.000 0.000
Zr 1.930 1.736 0.005
```

Results
The formation energy is -0.59 eV/f.u. Its space-group type is C2/m, No. 12. For the magnetization, the calculation gives 0.0 μB/f.u. The relative energy among the computed polymorphs comes out at 0.370 eV per atom.

[2]
Material: Zr2BeIr6
Method: DFT, PBE
State: relaxed

Structure (extended XYZ):
```
9
Lattice="-2.222 -5.099 -1.561 3.480 -4.538 -0.823 -0.052 -4.397 3.747" Properties=species:S:1:pos:R:3 pbc="T T T"
Ir -0.905 -8.317 1.469
Be 0.603 -7.017 0.681
Ir 2.084 -8.023 1.857
Ir 0.946 -8.391 -0.926
Ir 2.111 -5.717 -0.107
Ir 0.260 -5.644 2.288
Ir -0.878 -6.012 -0.494
Zr 0.301 -3.508 0.340
Zr 0.904 -10.526 1.022
```

Results
The formation energy is -6.21 eV/f.u. Its space-group type is Fm-3m, No. 225. For the magnetization, the calculation gives 0.0 μB/f.u.

[3]
Material: ZrBeIr2
Method: DFT, PBE
State: relaxed

Structure (extended XYZ):
```
4
Lattice="-1.080 2.050 -1.663 -2.112 -1.749 -0.784 -3.988 2.355 5.492" Properties=species:S:1:pos:R:3 pbc="T T T"
Ir -2.486 0.676 0.002
Zr -2.093 1.236 2.883
Ir -3.826 2.259 5.269
Be -4.757 2.017 3.130
```

Results
The formation energy is -1.03 eV/f.u. Its space-group type is P4mm, No. 99. For the magnetization, the calculation gives 0.0 μB/f.u.

[4]
Material: ZrBe2Ir
Method: DFT, PBE
State: relaxed

Structure (extended XYZ):
```
4
Lattice="2.917 0.000 0.000 0.000 2.915 0.000 0.000 0.000 6.232" Properties=species:S:1:pos:R:3 pbc="T T T"
Zr 1.459 1.458 4.674
Ir 1.459 1.458 1.558
Be 0.000 0.000 2.730
Be 0.000 0.000 0.386
```

Results
The formation energy is -1.61 eV/f.u. Its space-group type is P4/mmm, No. 123. For the magnetization, the calculation gives 0.0 μB/f.u. The relative energy among the computed polymorphs comes out at 0.115 eV per atom.

[5]
Material: ZrBeIr4
Method: DFT, PBE
State: relaxed

Structure (extended XYZ):
```
6
Lattice="0.000 3.657 3.657 3.657 0.000 3.657 3.657 3.657 0.000" Properties=species:S:1:pos:R:3 pbc="T T T"
Ir 4.577 2.738 4.577
Ir 2.738 4.577 4.577
Ir 4.577 4.577 2.738
Ir 2.738 2.738 2.738
Zr 5.486 5.486 5.486
Be 0.000 0.000 0.000
```

Results
The formation energy is -0.90 eV/f.u. Its space-group type is F-43m, No. 216. For the magnetization, the calculation gives 0.0 μB/f.u.

[6]
Material: ZrBe2Ir
Method: DFT, PBE
State: relaxed

Structure (extended XYZ):
```
4
Lattice="-4.318 0.462 -1.151 0.174 -0.733 -4.429 1.656 -2.643 3.233" Properties=species:S:1:pos:R:3 pbc="T T T"
Ir -2.072 -0.135 -2.790
Zr -2.367 -1.158 -0.354
Be 0.000 0.000 0.000
Be -0.121 -1.756 -1.993
```

Results
The formation energy is -0.97 eV/f.u. Its space-group type is I-4m2, No. 119. For the magnetization, the calculation gives 0.0 μB/f.u. The relative energy among the computed polymorphs comes out at 0.276 eV per atom.

[7]
Material: ZrBe2Ir
Method: DFT, PBE
State: relaxed

Structure (extended XYZ):
```
4
Lattice="3.914 -0.021 0.013 1.965 3.385 0.013 1.916 1.096 4.440" Properties=species:S:1:pos:R:3 pbc="T T T"
Be 1.919 1.098 3.814
Zr 1.950 1.116 1.202
Ir 3.889 2.225 2.938
Be 5.850 3.348 3.184
```

Results
The formation energy is -1.56 eV/f.u. Its space-group type is Cm, No. 8. For the magnetization, the calculation gives 0.0 μB/f.u. The relative energy among the computed polymorphs comes out at 0.128 eV per atom.

[8]
Material: Zr2Be9Ir
Method: DFT, PBE
State: relaxed

Structure (extended XYZ):
```
12
Lattice="4.545 0.000 0.000 2.272 3.936 0.000 2.272 1.312 7.244" Properties=species:S:1:pos:R:3 pbc="T T T"
Be 4.545 2.624 3.622
Be 3.428 1.979 1.672
Zr 2.272 1.312 4.119
Be 5.662 1.979 1.672
Be 4.545 2.624 7.223
Be 3.428 3.269 5.572
Be 4.545 3.914 1.672
Ir 0.000 0.000 0.000
Be 4.545 2.624 0.021
Be 4.545 1.335 5.572
Zr 6.817 3.936 3.125
Be 5.662 3.269 5.572
```

Results
The formation energy is -1.47 eV/f.u. Its space-group type is R-3m, No. 166. For the magnetization, the calculation gives 0.0 μB/f.u.

[9]
Material: Zr2Be3Ir2
Method: DFT, PBE
State: relaxed

Structure (extended XYZ):
```
7
Lattice="-1.152 0.878 3.614 1.928 -4.820 -0.312 4.177 3.995 0.361" Properties=species:S:1:pos:R:3 pbc="T T T"
Be 3.584 -1.287 1.455
Zr 3.659 1.941 0.695
Zr 1.294 -1.888 2.968
Be 1.369 1.340 2.208
Ir 3.246 0.356 3.046
Be -0.576 0.439 1.807
Ir 1.707 -0.303 0.618
```

Results
The formation energy is -3.89 eV/f.u. Its space-group type is C2/m, No. 12. For the magnetization, the calculation gives 0.0 μB/f.u.

[10]
Material: Zr2BeIr3
Method: DFT, PBE
State: relaxed

Structure (extended XYZ):
```
12
Lattice="-4.995 1.792 0.916 0.756 -4.808 -2.306 0.081 -3.274 6.853" Properties=species:S:1:pos:R:3 pbc="T T T"
Zr -1.084 -5.696 5.230
Ir -2.697 -3.633 0.401
Be 0.041 -1.637 3.426
Ir -1.461 -2.657 5.061
Ir -3.986 -1.751 5.524
Be 0.000 0.000 0.000
Zr -3.042 -1.859 2.878
Ir -0.172 -4.539 -0.062
Ir -0.554 -2.108 1.104
Zr -3.074 -0.594 0.232
Zr -1.116 -4.431 2.584
Ir -3.604 -4.182 4.358
```

Results
The formation energy is -4.72 eV/f.u. Its space-group type is P6_3/mmc, No. 194. For the magnetization, the calculation gives 0.0 μB/f.u.

[11]
Material: ZrBe2Ir
Method: DFT, PBE
State: relaxed

Structure (extended XYZ):
```
4
Lattice="3.668 0.000 0.000 0.000 3.017 0.003 0.000 1.508 4.714" Properties=species:S:1:pos:R:3 pbc="T T T"
Ir 0.000 2.072 1.950
Zr 1.834 3.584 3.760
Be 0.000 0.567 0.152
Be 1.834 0.564 1.215
```

Results
The formation energy is -1.84 eV/f.u. Its space-group type is Amm2, No. 38. For the magnetization, the calculation gives 0.0 μB/f.u. The relative energy among the computed polymorphs comes out at 0.058 eV per atom.

[12]
Material: ZrBe2Ir
Method: DFT, PBE
State: relaxed

Structure (extended XYZ):
```
16
Lattice="3.652 0.000 0.000 0.000 6.434 0.000 0.000 0.000 9.316" Properties=species:S:1:pos:R:3 pbc="T T T"
Ir 2.739 6.292 5.700
Be 2.739 4.077 6.238
Be 2.739 4.725 0.621
Zr 0.913 5.282 7.973
Zr 2.739 1.153 1.342
Ir 0.913 3.359 1.042
Ir 0.913 0.142 3.616
Be 0.913 5.575 1.580
Be 2.739 1.508 4.037
Be 0.913 4.926 5.279
Ir 2.739 3.075 8.274
Be 0.913 2.358 3.077
Zr 0.913 2.064 6.000
Be 2.739 0.859 7.735
Be 0.913 1.709 8.695
Zr 2.739 4.370 3.316
```

Results
The formation energy is -2.07 eV/f.u. Its space-group type is Pnma, No. 62. For the magnetization, the calculation gives 0.0 μB/f.u. The relative energy among the computed polymorphs comes out at 0.000 eV per atom.